<a>
Compound: CdInI
Source: Alexandria via LeMat-Bulk
Functional: PBE
Structure: relaxed

POSCAR file:
```
CdInI
1.0
5.5975 0.0000 0.0000
2.7988 4.8476 0.0000
2.7988 1.6159 4.5703
I In Cd
1 1 1
Direct
0.0000 0.0000 0.0000
0.2500 0.2500 0.2500
0.5000 0.5000 0.5000
```

Values from the calculation:
Total magnetic moment   0.00 μB/cell
Symmetry   F-43m (216)


<b>
Compound: CdInI
Source: Alexandria via LeMat-Bulk
Functional: PBE
Structure: relaxed

POSCAR file:
```
CdInI
1.0
4.8579 0.0000 0.0000
-2.4290 4.2071 0.0000
0.0000 0.0000 5.3473
I Cd In
1 1 1
Direct
0.0000 0.0000 0.0072
0.3333 0.6667 0.6263
0.6667 0.3333 0.3664
```

Values from the calculation:
Total magnetic moment   0.00 μB/cell
Symmetry   P3m1 (156)


It is <b> that is most stable; the runner-up trails by 4.9 kJ/mol of atoms.


<a>
Compound: Cd2InI
Source: Alexandria via LeMat-Bulk
Functional: PBE
Structure: relaxed

POSCAR file:
```
Cd2InI
1.0
4.1853 -0.5517 3.8483
2.0452 4.6134 2.6768
-1.0971 0.8038 5.5481
I Cd In
1 2 1
Direct
0.5000 0.5000 0.5000
0.2500 0.2500 0.2500
0.7500 0.7500 0.7500
0.0000 0.0000 0.0000
```

Values from the calculation:
Total magnetic moment   0.00 μB/cell
Symmetry   Fm-3m (225)


<b>
Compound: Cd2InI
Source: Alexandria via LeMat-Bulk
Functional: PBE
Structure: relaxed

POSCAR file:
```
Cd2InI
1.0
-1.6228 1.5513 3.1004
1.6080 -2.6960 2.1906
6.4148 4.6598 1.0261
In Cd I
1 2 1
Direct
0.5000 0.5000 0.0000
0.0000 0.0000 0.7654
0.0000 0.0000 0.2346
0.5000 0.5000 0.5000
```

Values from the calculation:
Total magnetic moment   0.00 μB/cell
Symmetry   P4/mmm (123)


<c>
Compound: Cd2InI
Source: Alexandria via LeMat-Bulk
Functional: PBE
Structure: relaxed

POSCAR file:
```
Cd2InI
1.0
-1.8023 3.5151 1.2582
-4.1336 0.3153 0.0280
-2.1428 -1.5566 8.1089
I Cd In
1 2 1
Direct
0.5000 0.5000 0.5000
0.7439 0.7439 0.7684
0.2561 0.2561 0.2316
0.0000 0.0000 0.0000
```

Values from the calculation:
Total magnetic moment   0.00 μB/cell
Symmetry   R-3m (166)


It is <c> that is most stable; the runner-up trails by 5.2 kJ/mol of atoms.


<a>
Compound: Cd2InI
Source: Alexandria via LeMat-Bulk
Functional: PBE
Structure: relaxed

POSCAR file:
```
Cd2InI
1.0
7.4286 0.0000 0.0000
0.0000 7.4286 0.0000
3.7143 3.7143 5.9905
I In Cd
2 2 4
Direct
0.7500 0.2500 0.5000
0.0000 0.0000 0.0000
0.2500 0.7500 0.5000
0.5000 0.5000 0.0000
0.3750 0.4054 0.7500
0.8750 0.8446 0.7500
0.5946 0.1250 0.2500
0.1554 0.6250 0.2500
```

Values from the calculation:
Total magnetic moment   0.00 μB/cell
Symmetry   I-42d (122)


<b>
Compound: Cd2InI
Source: Alexandria via LeMat-Bulk
Functional: PBE
Structure: relaxed

POSCAR file:
```
Cd2InI
1.0
-1.5347 -1.9912 -3.2371
-1.2941 -3.8685 0.3984
-8.6148 0.8126 0.9897
I Cd In
1 2 1
Direct
0.4983 0.4983 0.5052
0.0775 0.0775 0.7675
0.2567 0.2567 0.2298
0.6675 0.6675 0.9975
```

Values from the calculation:
Total magnetic moment   0.00 μB/cell
Symmetry   R3m (160)


It is <b> that is most stable; the runner-up trails by 6.7 kJ/mol of atoms.


<a>
Compound: CdIn2I
Source: Alexandria via LeMat-Bulk
Functional: PBE
Structure: relaxed

POSCAR file:
```
CdIn2I
1.0
-1.5682 -3.3951 0.6323
4.1336 -1.1925 3.8487
-3.2463 2.2803 4.1932
In Cd I
2 1 1
Direct
0.0000 0.5000 0.0000
0.0000 0.0000 0.5000
0.5000 0.5000 0.5000
0.5000 0.0000 0.0000
```

Values from the calculation:
Total magnetic moment   0.00 μB/cell
Symmetry   P4/mmm (123)


<b>
Compound: CdIn2I
Source: Alexandria via LeMat-Bulk
Functional: PBE
Structure: relaxed

POSCAR file:
```
CdIn2I
1.0
0.0000 4.0052 4.0052
4.0052 0.0000 4.0052
4.0052 4.0052 0.0000
In Cd I
2 1 1
Direct
0.7500 0.7500 0.7500
0.2500 0.2500 0.2500
0.0000 0.0000 0.0000
0.5000 0.5000 0.5000
```

Values from the calculation:
Total magnetic moment   0.00 μB/cell
Symmetry   Fm-3m (225)


<c>
Compound: CdIn2I
Source: Alexandria via LeMat-Bulk
Functional: PBE
Structure: relaxed

POSCAR file:
```
CdIn2I
1.0
4.1122 0.0000 0.0000
0.0000 4.1122 0.0000
0.0000 0.0000 7.3914
In Cd I
2 1 1
Direct
0.0000 0.0000 0.7802
0.0000 0.0000 0.2198
0.5000 0.5000 0.0000
0.5000 0.5000 0.5000
```

Values from the calculation:
Total magnetic moment   0.00 μB/cell
Symmetry   P4/mmm (123)


<d>
Compound: CdIn2I
Source: Alexandria via LeMat-Bulk
Functional: PBE
Structure: relaxed

POSCAR file:
```
CdIn2I
1.0
4.1201 0.0000 0.0000
2.0601 3.5681 0.0000
2.0601 1.1894 8.6776
In Cd I
2 1 1
Direct
0.2574 0.2574 0.2277
0.7426 0.7426 0.7723
0.0000 0.0000 0.0000
0.5000 0.5000 0.5000
```

Values from the calculation:
Total magnetic moment   0.00 μB/cell
Symmetry   R-3m (166)


It is <c> that is most stable; the runner-up trails by 0.6 kJ/mol of atoms.


<a>
Compound: CdIn2I
Source: Alexandria via LeMat-Bulk
Functional: PBE
Structure: relaxed

POSCAR file:
```
CdIn2I
1.0
-2.2698 -0.2571 3.4094
-4.0009 -0.8756 -0.2597
-0.2373 -9.0169 1.6320
In Cd I
2 1 1
Direct
0.0768 0.0768 0.7697
0.2580 0.2580 0.2259
0.6675 0.6675 0.9976
0.4977 0.4977 0.5068
```

Values from the calculation:
Total magnetic moment   0.00 μB/cell
Symmetry   R3m (160)


<b>
Compound: CdIn2I
Source: Alexandria via LeMat-Bulk
Functional: PBE
Structure: relaxed

POSCAR file:
```
CdIn2I
1.0
6.5537 0.0000 0.0000
0.0000 6.5537 0.0000
3.2769 3.2769 8.0791
In Cd I
4 2 2
Direct
0.8750 0.8154 0.7500
0.5654 0.1250 0.2500
0.1846 0.6250 0.2500
0.3750 0.4346 0.7500
0.2500 0.7500 0.5000
0.5000 0.5000 0.0000
0.7500 0.2500 0.5000
0.0000 0.0000 0.0000
```

Values from the calculation:
Total magnetic moment   0.00 μB/cell
Symmetry   I-42d (122)


It is <a> that is most stable; the runner-up trails by 10.4 kJ/mol of atoms.


<a>
Compound: CdInI6
Source: Alexandria via LeMat-Bulk
Functional: PBE
Structure: relaxed

POSCAR file:
```
CdInI6
1.0
-0.8889 4.8876 -5.7224
4.3414 -0.5108 -6.0338
-3.0509 -2.9290 -6.1510
Cd In I
1 1 6
Direct
0.5000 0.5000 0.5000
0.0000 0.0000 0.0000
0.9318 0.5795 0.2532
0.4134 0.7559 0.7549
0.5866 0.2441 0.2451
0.7520 0.0669 0.7496
0.0682 0.4205 0.7468
0.2480 0.9331 0.2504
```

Values from the calculation:
Total magnetic moment   0.00 μB/cell
Symmetry   P-1 (2)


<b>
Compound: CdInI6
Source: Alexandria via LeMat-Bulk
Functional: PBE
Structure: relaxed

POSCAR file:
```
CdInI6
1.0
-4.3408 -4.8765 -2.6471
2.7924 -5.9645 -2.9634
-0.2398 -3.4453 6.6794
I In Cd
6 1 1
Direct
0.6701 0.0000 0.7434
0.0021 0.3216 0.7426
0.3236 0.6785 0.7426
0.3299 0.0000 0.2566
0.9979 0.6784 0.2574
0.6764 0.3215 0.2574
0.0000 0.0000 0.5000
0.0000 0.0000 0.0000
```

Values from the calculation:
Total magnetic moment   0.00 μB/cell
Symmetry   C2/m (12)


It is <b> that is most stable; the runner-up trails by 3.0 kJ/mol of atoms.